# MnTl2GeO6, optimized geometry, DFT GGA+U
# - DFT total energy: -57.85 eV/cell
# - Volume: 123.0 Å³/cell
data_MnTl2GeO6
_chemical_formula_sum 'Mn1 Tl2 Ge1 O6'
_symmetry_space_group_name_H-M 'P 1'
_symmetry_Int_Tables_number 1
_cell_length_a 5.606
_cell_length_b 5.606
_cell_length_c 5.606
_cell_angle_alpha 59.42
_cell_angle_beta 59.42
_cell_angle_gamma 59.42
loop_
_symmetry_equiv_pos_as_xyz
'x,y,z'
loop_
_atom_site_label
_atom_site_type_symbol
_atom_site_fract_x
_atom_site_fract_y
_atom_site_fract_z
Mn1 Mn 0.000 0.000 0.000
Tl1 Tl 0.263 0.263 0.263
Tl2 Tl 0.739 0.739 0.739
Ge1 Ge 0.500 0.500 0.500
O1 O 0.157 0.719 0.377
O2 O 0.280 0.623 0.843
O3 O 0.377 0.157 0.719
O4 O 0.623 0.843 0.280
O5 O 0.719 0.377 0.157
O6 O 0.843 0.280 0.623